[1]
# NaNdAgSb | Alexandria via LeMat-Bulk | PBE | relaxed
# Uncorrected formation energy   -10.95 kcal/mol of atoms
data_NaNdAgSb
_symmetry_space_group_name_H-M 'F -4 3 m'
_symmetry_Int_Tables_number 216
_symmetry_space_group_name_Hall 'F -4 2 3'
_cell_length_a 7.488
_cell_length_b 7.488
_cell_length_c 7.488
_cell_angle_alpha 90.00
_cell_angle_beta 90.00
_cell_angle_gamma 90.00
loop_
_atom_site_label
_atom_site_type_symbol
_atom_site_fract_x
_atom_site_fract_y
_atom_site_fract_z
Na1 Na 0.000 0.000 0.000
Nd1 Nd 0.000 0.000 0.500
Ag1 Ag 0.250 0.250 0.250
Sb1 Sb 0.250 0.250 0.750


[2]
# BaSr2Ca | Alexandria via LeMat-Bulk | PBE | relaxed
# Polymorph energy (0 for the lowest one)   0.005 eV/atom
data_BaSr2Ca
_symmetry_space_group_name_H-M 'P 1 m 1'
_symmetry_Int_Tables_number 6
_symmetry_space_group_name_Hall 'P -2y'
_cell_length_a 4.082
_cell_length_b 6.671
_cell_length_c 7.836
_cell_angle_alpha 90.00
_cell_angle_beta 100.06
_cell_angle_gamma 90.00
loop_
_atom_site_label
_atom_site_type_symbol
_atom_site_fract_x
_atom_site_fract_y
_atom_site_fract_z
Ba1 Ba 0.000 0.000 0.000
Sr1 Sr 0.249 0.500 0.740
Sr2 Sr 0.513 0.000 0.491
Ca1 Ca 0.737 0.500 0.244


[3]
# Al2GaO5 | Alexandria via LeMat-Bulk | PBE | relaxed
# Uncorrected formation energy   -55.05 kcal/mol of atoms
# Polymorph energy (0 for the lowest one)   0.000 eV/atom
data_Al2GaO5
_symmetry_space_group_name_H-M 'P n n m'
_symmetry_Int_Tables_number 58
_symmetry_space_group_name_Hall '-P 2 2n'
_cell_length_a 7.927
_cell_length_b 8.421
_cell_length_c 5.936
_cell_angle_alpha 90.00
_cell_angle_beta 90.00
_cell_angle_gamma 90.00
loop_
_atom_site_label
_atom_site_type_symbol
_atom_site_fract_x
_atom_site_fract_y
_atom_site_fract_z
Al1 Al 0.000 0.000 0.249
Al2 Al 0.207 0.300 0.000
Ga1 Ga 0.200 0.721 0.000
O1 O 0.006 0.412 0.000
O2 O 0.101 0.116 0.000
O3 O 0.117 0.094 0.500
O4 O 0.176 0.839 0.256


no.,N(E_F) (states/eV/atom)
1,0.406
2,1.148
3,0.000